Entry 1:
The following is a DFT calculation (GGA-PBEsol) of a relaxed structure of CoB12H28N2O30.

Cell lengths 7.428, 7.781, 10.967 Å; angles 108.79, 93.76, 91.10 degrees
Each line ends with the local moment (μB).
Fractional coordinates of all 73 atoms:
O: 0.901 0.449 0.846  0.00
H: 0.871 0.955 0.405  0.00
H: 0.377 0.435 0.056  0.00
O: 0.691 0.658 0.223  0.00
H: 0.681 0.485 0.440  0.00
B: 0.100 0.557 0.281  0.00
O: 0.468 0.936 0.117  0.00
B: 0.878 0.110 0.652  0.00
O: 0.077 0.403 0.314  0.00
H: 0.975 0.643 0.959  0.00
H: 0.692 0.025 0.123  0.00
H: 0.113 0.288 0.246  0.00
O: 0.792 0.880 0.855  0.04
O: 0.309 0.342 0.777  0.00
O: 0.673 0.364 0.958  0.00
H: 0.713 0.550 0.150  0.00
O: 0.125 0.720 0.378  0.00
O: 0.400 0.303 0.039  0.00
B: 0.655 0.847 0.556  0.00
B: 0.329 0.016 0.204  0.00
O: 0.413 0.297 0.547  0.00
O: 0.099 0.551 0.154  0.00
B: 0.900 0.443 0.719  0.00
N: 0.268 0.645 0.592  0.00
H: 0.780 0.320 0.489  0.00
O: 0.587 0.868 0.673  0.00
O: 0.216 0.032 0.456  0.00
O: 0.821 0.068 0.143  0.05
H: 0.626 0.691 0.364  0.00
O: 0.783 0.135 0.774  0.00
O: 0.600 0.697 0.961  0.00
O: 0.217 0.865 0.226  0.00
H: 0.796 0.747 0.237  0.00
B: 0.345 0.153 0.444  0.00
O: 0.532 0.064 0.883  0.00
H: 0.159 0.644 0.647  0.00
H: 0.374 0.309 0.636  0.00
O: 0.972 0.248 0.969  0.05
H: 0.220 0.680 0.511  0.00
O: 0.327 0.636 0.042  0.00
H: 0.129 0.045 0.595  0.00
H: 0.319 0.515 0.560  0.00
B: 0.122 0.890 0.348  0.00
B: 0.671 0.984 0.796  0.00
O: 0.923 0.597 0.686  0.00
N: 0.732 0.355 0.408  0.00
H: 0.623 0.565 0.944  0.00
H: 0.841 0.356 0.353  0.00
H: 0.287 0.450 0.850  0.00
B: 0.164 0.700 0.112  0.00
H: 0.025 0.357 0.041  0.00
Co: 0.000 0.000 0.000  2.62
O: 0.208 0.120 0.145  0.04
O: 0.875 0.280 0.622  0.00
O: 0.784 0.968 0.544  0.00
H: 0.133 0.979 0.785  0.00
O: 0.179 0.932 0.857  0.05
B: 0.535 0.243 0.957  0.00
H: 0.204 0.253 0.763  0.00
H: 0.887 0.712 0.754  0.00
H: 0.715 0.808 0.898  0.00
B: 0.465 0.757 0.043  0.00
O: 0.065 0.065 0.676  0.00
H: 0.867 0.021 0.215  0.00
H: 0.627 0.264 0.358  0.00
B: 0.836 0.300 0.888  0.00
H: 0.308 0.975 0.877  0.00
O: 0.935 0.935 0.324  0.00
H: 0.373 0.736 0.642  0.00
O: 0.587 0.703 0.453  0.00
H: 0.285 0.192 0.102  0.00
O: 0.028 0.752 0.031  0.05
O: 0.413 0.132 0.327  0.00

Output
- E_tot (Ry/atom) = -0.477
- space group = P-1
- calculated volume (Å³ per atom) = 8.20


Entry 2:
The following is a DFT calculation (GGA-PBEsol) of a relaxed structure of YNiNF2.

Cell lengths 4.183, 4.183, 4.571 Å; angles 90.00, 90.00, 90.00 degrees
Each line ends with the local moment (μB).
Fractional coordinates of all 5 atoms:
Y: 0.000 0.000 0.000  0.10
Ni: 0.500 0.500 0.500  1.16
F: 0.500 0.000 0.000  0.01
F: 0.000 0.500 0.000  0.01
N: 0.000 0.000 0.500  0.56

Output
- E_tot (Ry/atom) = -0.454
- uncorrected formation energy (eV per atom) = -1.111
- space group = P4/mmm
- calculated volume (Å³ per atom) = 16.00


Entry 3:
The following is a DFT calculation (GGA-PBEsol) of a relaxed structure of Hf2SbPd2.

Cell lengths 3.653, 7.144, 7.144 Å; angles 90.00, 90.00, 90.00 degrees
Fractional coordinates of all 10 atoms:
Hf: 0.500 0.334 0.166
Pd: 0.000 0.370 0.870
Sb: 0.000 0.500 0.500
Hf: 0.500 0.666 0.834
Pd: 0.000 0.130 0.370
Hf: 0.500 0.166 0.666
Hf: 0.500 0.834 0.334
Pd: 0.000 0.870 0.630
Sb: 0.000 0.000 0.000
Pd: 0.000 0.630 0.130

Output
- E_tot (Ry/atom) = -0.599
- uncorrected formation energy (eV per atom) = -0.657
- space group = P4/mbm
- calculated volume (Å³ per atom) = 18.64


Entry 4:
The following is a DFT calculation (GGA-PBEsol) of a relaxed structure of YTe2Pb.

Cell lengths 4.406, 4.443, 6.304 Å; angles 90.00, 90.00, 90.00 degrees
Fractional coordinates of all 4 atoms:
Te: 0.000 0.000 0.875
Te: 0.500 0.500 0.375
Pb: 0.500 0.500 0.875
Y: 0.000 0.000 0.375

Output
- E_tot (Ry/atom) = -0.387
- uncorrected formation energy (eV per atom) = -0.791
- space group = Pmmm
- calculated volume (Å³ per atom) = 30.85


Entry 5:
The following is a DFT calculation (GGA-PBEsol) of a relaxed structure of CdCo2Ir.

Cell lengths 2.874, 4.462, 5.059 Å; angles 116.16, 106.50, 90.00 degrees
Each line ends with the local moment (μB).
Fractional coordinates of all 4 atoms:
Co: 0.761 0.761 0.521  1.71
Co: 0.239 0.239 0.479  1.71
Ir: 0.500 0.000 0.000  0.45
Cd: 0.000 0.500 0.000  -0.02

Output
- ΔE_f (kJ/mol of atoms) = 40
- E_tot (Ry/atom) = -0.457
- space group = Immm
- calculated volume (Å³ per atom) = 13.81


Entry 6:
The following is a DFT calculation (GGA-PBEsol) of a relaxed structure of TeMoWN2.

Cell lengths 3.904, 3.904, 5.563 Å; angles 90.00, 90.00, 90.00 degrees
Each line ends with the local moment (μB).
Fractional coordinates of all 5 atoms:
N: 0.500 0.000 0.000  -0.16
W: 0.500 0.500 0.500  2.49
Te: 0.000 0.000 0.500  -0.02
N: 0.000 0.500 0.000  -0.16
Mo: 0.000 0.000 0.000  0.28

Output
- E_tot (Ry/atom) = -0.588
- uncorrected formation energy (eV per atom) = 1.234
- space group = P4/mmm
- calculated volume (Å³ per atom) = 16.95


Entry 7:
The following is a DFT calculation (GGA-PBEsol) of a relaxed structure of Hg2BSbAu.

Cell lengths 5.109, 5.552, 5.552 Å; angles 90.00, 90.00, 90.00 degrees
Fractional coordinates of all 5 atoms:
Au: 0.500 0.000 0.000
Sb: 0.000 0.000 0.000
B: 0.500 0.500 0.500
Hg: 0.000 0.500 0.000
Hg: 0.000 0.000 0.500

Output
- E_tot (Ry/atom) = -0.140
- uncorrected formation energy (eV per atom) = 1.418
- space group = P4/mmm
- calculated volume (Å³ per atom) = 31.50


Entry 8:
The following is a DFT calculation (GGA-PBEsol) of a relaxed structure of Y2NiAu.

Cell lengths 3.759, 4.398, 5.488 Å; angles 90.00, 110.03, 90.00 degrees
Fractional coordinates of all 4 atoms:
Y: 0.392 0.500 0.783
Ni: 0.670 0.500 0.340
Y: 0.110 0.000 0.220
Au: 0.826 0.000 0.652

Output
- ΔE_f (kJ/mol of atoms) = -62
- E_tot (Ry/atom) = -0.483
- space group = Amm2
- calculated volume (Å³ per atom) = 21.31


Entry 9:
The following is a DFT calculation (GGA-PBEsol) of a relaxed structure of NaSr3Pt.

Cell lengths 5.911, 5.911, 5.911 Å; angles 90.00, 90.00, 90.00 degrees
Fractional coordinates of all 5 atoms:
Na: 0.500 0.500 0.500
Sr: 0.000 0.500 0.000
Sr: 0.000 0.000 0.500
Pt: 0.000 0.000 0.000
Sr: 0.500 0.000 0.000

Output
- ΔE_f (kJ/mol of atoms) = -37
- E_tot (Ry/atom) = -0.232
- space group = Pm-3m
- calculated volume (Å³ per atom) = 41.30


Entry 10:
The following is a DFT calculation (GGA-PBEsol) of a relaxed structure of Cr3NiS6O24.

Cell lengths 8.107, 8.107, 8.678 Å; angles 62.15, 62.15, 60.00 degrees
Each line ends with the local moment (μB).
Fractional coordinates of all 34 atoms:
O: 0.291 0.343 0.397  0.04
O: 0.497 0.891 0.925  0.01
Ni: 0.151 0.151 0.548  1.43
S: 0.748 0.465 0.748  0.02
O: 0.384 0.630 0.227  0.00
S: 0.039 0.748 0.748  0.02
O: 0.613 0.380 0.766  -0.01
Cr: 0.356 0.356 0.931  2.62
S: 0.252 0.535 0.253  0.01
O: 0.380 0.241 0.766  -0.01
O: 0.759 0.384 0.227  0.00
O: 0.343 0.969 0.397  0.04
O: 0.294 0.514 0.076  0.00
S: 0.959 0.252 0.253  0.01
S: 0.465 0.039 0.748  0.02
O: 0.969 0.291 0.397  0.04
O: 0.042 0.674 0.299  0.00
O: 0.006 0.956 0.709  0.03
O: 0.241 0.613 0.766  -0.01
O: 0.687 0.497 0.925  0.01
Cr: 0.849 0.849 0.452  2.58
O: 0.662 0.024 0.602  0.00
O: 0.956 0.329 0.709  0.03
O: 0.891 0.687 0.925  0.01
O: 0.985 0.042 0.299  0.00
S: 0.535 0.959 0.253  0.01
O: 0.674 0.985 0.299  0.00
O: 0.713 0.662 0.602  0.00
Cr: 0.644 0.644 0.068  2.47
O: 0.630 0.759 0.227  0.00
O: 0.329 0.006 0.709  0.03
O: 0.115 0.294 0.076  0.00
O: 0.514 0.115 0.076  0.00
O: 0.024 0.713 0.602  0.00

Output
- E_tot (Ry/atom) = -0.514
- uncorrected formation energy (eV per atom) = -1.423
- space group = R3
- calculated volume (Å³ per atom) = 12.23


Entry 11:
The following is a DFT calculation (GGA-PBEsol) of a relaxed structure of LiAl3.

Cell lengths 2.876, 2.876, 9.294 Å; angles 81.10, 81.10, 60.00 degrees
Fractional coordinates of all 4 atoms:
Al: 0.250 0.250 0.250
Li: 0.000 0.000 0.000
Al: 0.750 0.750 0.750
Al: 0.500 0.500 0.500

Output
- ΔE_f (kJ/mol of atoms) = -3
- E_tot (Ry/atom) = -0.264
- space group = R-3m
- calculated volume (Å³ per atom) = 16.37


Entry 12:
The following is a DFT calculation (GGA-PBEsol) of a relaxed structure of KNp2Se6.

Cell lengths 3.983, 5.403, 11.225 Å; angles 103.93, 100.22, 90.00 degrees
Each line ends with the local moment (μB).
Fractional coordinates of all 9 atoms:
Se: 0.392 0.144 0.783  -0.05
Np: 0.183 0.683 0.365  3.29
Se: 0.608 0.856 0.217  -0.05
Se: 0.392 0.639 0.783  -0.05
Se: 0.777 0.777 0.553  -0.13
K: 0.000 0.000 0.000  0.00
Se: 0.223 0.223 0.447  -0.13
Np: 0.817 0.317 0.635  3.29
Se: 0.608 0.361 0.217  -0.05

Output
- E_tot (Ry/atom) = -0.492
- uncorrected formation energy (eV per atom) = -0.924
- space group = Immm
- calculated volume (Å³ per atom) = 25.62